# 1
The following is a DFT calculation (GGA-PBEsol) of an optimized crystal structure of MgZr4Au.

Structure (POSCAR):
```
MgZr4Au
1.0
-0.119 -4.635 -3.214
3.850 -4.054 0.753
-1.517 -4.949 2.243
Au Zr Mg
1 4 1
Direct
0.750 0.750 0.750
0.375 0.875 0.375
0.375 0.375 0.875
0.875 0.375 0.375
0.375 0.375 0.375
0.000 0.000 0.000
```

Properties
Calculated volume   126.94 Å³/cell
Crystal system   cubic
Total DFT energy (no corrections)   -0.250 Ha/atom

# 2
The following is a DFT calculation (GGA-PBEsol) of an optimized crystal structure of Mg2ZrAu.

Structure (POSCAR):
```
Mg2ZrAu
1.0
-2.194 3.046 2.101
-2.780 0.255 -3.272
0.097 -4.613 2.385
Mg Zr Au
2 1 1
Direct
0.250 0.750 0.500
0.750 0.250 0.500
0.500 0.500 0.000
0.000 0.000 0.000
```

Properties
Calculated volume   77.90 Å³/cell
Crystal system   tetragonal
Total DFT energy (no corrections)   -0.154 Ha/atom

# 3
The following is a DFT calculation (GGA-PBEsol) of an optimized crystal structure of MnAu.

Structure (POSCAR):
```
MnAu
1.0
-2.995 -0.502 0.682
0.834 -2.174 2.065
0.149 2.250 2.310
Mn Au
1 1
Direct
0.500 0.500 0.500
0.000 0.000 0.000
```

Properties
Calculated volume   31.27 Å³/cell
Crystal system   tetragonal
Total DFT energy (no corrections)   -0.247 Ha/atom